DFT (GGA-PBE) results for crystalline Tm5Ga2Bi at its relaxed geometry.

As for the final energy: -0.1700 hartree per atom. Its mass density is 9587 kg/m³. The total magnetization is 0.08 μB/cell.

It has space group I4/mcm (No. 140), with a = 8.052 Å, b = 8.052 Å, c = 12.751 Å, α = 90.00°, β = 90.00° and γ = 90.00°. The asymmetric unit holds Tm at (0.000, 0.000, 0.000), Tm at (0.151, 0.349, 0.141), Ga at (0.150, 0.350, 0.500) and Bi at (0.000, 0.000, 0.250).